1.
## SbRhSI2 (GGA-PBE)

Data for a geometry-optimized SbRhSI2 structure.

Lattice parameters (Å, degrees): 5.518 5.518 5.138 90.00 90.00 90.00
Space group P4/mmm (No. 123)
Unique sites:
Sb (0.000, 0.000, 0.000)
Rh (0.500, 0.500, 0.000)
S (0.000, 0.000, 0.500)
I (0.000, 0.500, 0.500)

Computed properties:
Size of the total moment: 1.4 μB/f.u.
Energy relative to the lowest polymorph listed for this composition: 2.68 eV per formula unit
Calculated total energy: -2.647 eV per atom
Uncorrected formation energy: 1.09 eV per atom

=====

2.
## YZn2Tc (GGA-PBE)

Data for a geometry-optimized YZn2Tc structure.

Lattice parameters (Å, degrees): 4.145 4.145 8.126 90.00 90.00 90.00
Space group I4/mmm (No. 139)
Unique sites:
Y (0.000, 0.000, 0.000)
Zn (0.000, 0.500, 0.250)
Tc (0.000, 0.000, 0.500)

Computed properties:
Size of the total moment: 0.0 μB/f.u.
Energy relative to the lowest polymorph listed for this composition: 0.00 eV per formula unit
Calculated total energy: -4.936 eV per atom

=====

3.
## Na4MgPt3O8 (GGA-PBE)

Data for a geometry-optimized Na4MgPt3O8 structure.

Lattice parameters (Å, degrees): 11.875 6.186 6.210 90.00 121.22 90.00
Space group C2/m (No. 12)
Unique sites:
Na (0.000, 0.000, 0.000)
Na (0.000, 0.500, 0.000)
Na (0.250, 0.250, 0.500)
Mg (0.000, 0.000, 0.500)
Pt (0.000, 0.500, 0.500)
Pt (0.250, 0.250, 0.000)
O (0.045, 0.256, 0.755)
O (0.216, 0.000, 0.179)
O (0.239, 0.000, 0.768)

Computed properties:
Size of the total moment: 0.0 μB/f.u.
Calculated total energy: -5.243 eV per atom
Uncorrected formation energy: -1.20 eV per atom

=====

4.
## Li8Bi3Pb2 (GGA-PBE)

Data for a geometry-optimized Li8Bi3Pb2 structure.

Lattice parameters (Å, degrees): 5.8187 5.8187 30.8765 90.00 90.00 120.00
Space group R-3m (No. 166, hexagonal axes)
Unique sites:
Li (0.0000, 0.0000, 0.2186)
Li (0.0009, 0.5005, 0.7168)
Bi (0.0000, 0.0000, 0.3056)
Bi (0.0000, 0.0000, 0.5000)
Pb (0.0000, 0.0000, 0.1303)

Computed properties:
Size of the total moment: 0.0 μB/f.u.
Calculated total energy: -2.888 eV per atom

=====

5.
## Pm3Tm6Tl (GGA-PBE)

Data for a geometry-optimized Pm3Tm6Tl structure.

Lattice parameters (Å, degrees): 10.772 19.104 6.093 90.00 90.00 90.00
Space group Cmc2_1 (No. 36)
Unique sites:
Pm (0.000, 0.105, 0.000)
Pm (0.166, 0.387, 0.625)
Tm (0.000, 0.221, 0.414)
Tm (0.000, 0.440, 0.132)
Tm (0.164, 0.045, 0.515)
Tm (0.236, 0.298, 0.164)
Tl (0.000, 0.267, 0.899)

Computed properties:
Size of the total moment: 0.0 μB/f.u.
Energy relative to the lowest polymorph listed for this composition: 0.14 eV per formula unit
Calculated total energy: -4.305 eV per atom

=====

6.
## CsBe2TlAg (GGA-PBE)

Data for a geometry-optimized CsBe2TlAg structure.

Lattice parameters (Å, degrees): 4.811 4.811 6.393 90.00 90.00 90.00
Space group P4/mmm (No. 123)
Unique sites:
Cs (0.000, 0.000, 0.000)
Be (0.000, 0.500, 0.500)
Tl (0.500, 0.500, 0.000)
Ag (0.000, 0.000, 0.500)

Computed properties:
Size of the total moment: 0.0 μB/f.u.
Calculated total energy: -1.796 eV per atom

=====

- Which value of size of the total moment does entry 2 give?
  0.0 μB/f.u.

=====

- Among the records above, which one has the highest size of the total moment?
  SbRhSI2

=====

- calculated total energy of number 2 (YZn2Tc)?
  -4.936 eV per atom